# MnSiNO2

A relaxed MnSiNO2 crystal (PBE with a Hubbard U, Alexandria via LeMat-Bulk).

Crystal system: tetragonal
E in eV/cell: -30.7

a = 3.765 Å, b = 3.765 Å, c = 3.846 Å
α = 90.00°, β = 90.00°, γ = 90.00°
Positions (direct):
Mn 0.000 0.000 0.000
Si 0.500 0.500 0.500
O 0.500 0.000 0.000
N 0.000 0.000 0.500
O 0.000 0.500 0.000